No. 1
Below is a relaxed GaHgCl crystal, with properties calculated at the PBE level.

Lattice parameters (Å, degrees): 8.962 4.207 11.506 90.00 127.10 90.00
Fractional positions:
1 Hg 0.060 0.000 0.666
2 Hg 0.940 0.000 0.334
3 Hg 0.060 0.500 0.166
4 Hg 0.940 0.500 0.834
5 Ga 0.609 0.000 0.667
6 Ga 0.391 0.000 0.333
7 Ga 0.609 0.500 0.167
8 Ga 0.391 0.500 0.833
9 Cl 0.639 0.000 0.910
10 Cl 0.361 0.000 0.090
11 Cl 0.639 0.500 0.410
12 Cl 0.361 0.500 0.590

Its total energy is -2.176 eV/atom. Its distance to the lowest polymorph of the same formula is 0.4 kJ/mol of atoms. As for the total magnetization: 0.0 μB per cell.

=====

No. 2
Below is a relaxed GaHgCl crystal, with properties calculated at the PBE level.

Lattice parameters (Å, degrees): 3.591 3.591 7.172 104.50 104.50 90.00
Fractional positions:
1 Hg 0.013 0.013 0.025
2 Ga 0.695 0.695 0.390
3 Cl 0.292 0.292 0.585

Its total energy is -2.129 eV/atom. Its distance to the lowest polymorph of the same formula is 4.9 kJ/mol of atoms. As for the total magnetization: 0.0 μB per cell.

=====

No. 3
Below is a relaxed GaHgCl crystal, with properties calculated at the PBE level.

Lattice parameters (Å, degrees): 4.067 6.045 7.853 86.81 89.81 70.34
Fractional positions:
1 Hg 0.366 0.273 0.085
2 Hg 0.634 0.727 0.915
3 Ga 0.116 0.766 0.601
4 Ga 0.884 0.234 0.399
5 Cl 0.349 0.300 0.630
6 Cl 0.651 0.700 0.370

Its total energy is -2.172 eV/atom. Its distance to the lowest polymorph of the same formula is 0.7 kJ/mol of atoms. As for the total magnetization: 0.0 μB per cell.

=====

No. 4
Below is a relaxed Ga3HgCl crystal, with properties calculated at the PBE level.

Lattice parameters (Å, degrees): 5.388 5.388 5.388 90.00 90.00 90.00
Fractional positions:
1 Hg 0.500 0.500 0.500
2 Ga 0.000 0.500 0.000
3 Ga 0.000 0.000 0.500
4 Ga 0.500 0.000 0.000
5 Cl 0.000 0.000 0.000

Its total energy is -2.036 eV/atom. Its distance to the lowest polymorph of the same formula is 6.3 kJ/mol of atoms. As for the total magnetization: 0.0 μB per cell.

=====

No. 5
Below is a relaxed GaHgI4Cl crystal, with properties calculated at the PBE level.

Lattice parameters (Å, degrees): 7.927 7.927 14.462 67.17 67.17 63.69
Fractional positions:
1 Ga 0.610 0.610 0.744
2 Ga 0.390 0.390 0.256
3 Hg 0.109 0.109 0.862
4 Hg 0.891 0.891 0.138
5 I 0.389 0.389 0.430
6 I 0.611 0.611 0.570
7 I 0.021 0.493 0.248
8 I 0.578 0.578 0.098
9 I 0.507 0.979 0.752
10 I 0.493 0.021 0.248
11 I 0.422 0.422 0.902
12 I 0.979 0.507 0.752
13 Cl 0.100 0.100 0.053
14 Cl 0.900 0.900 0.947

Its total energy is -2.075 eV/atom. As for the total magnetization: 0.0 μB per cell.

=====

No. 6
Below is a relaxed GaHgICl4 crystal, with properties calculated at the PBE level.

Lattice parameters (Å, degrees): 7.844 7.844 10.308 83.28 83.28 94.82
Fractional positions:
1 Ga 0.635 0.635 0.758
2 Ga 0.365 0.365 0.242
3 Hg 0.178 0.178 0.998
4 Hg 0.822 0.822 0.002
5 I 0.944 0.944 0.211
6 I 0.056 0.056 0.789
7 Cl 0.226 0.226 0.420
8 Cl 0.774 0.774 0.580
9 Cl 0.173 0.468 0.110
10 Cl 0.565 0.565 0.260
11 Cl 0.532 0.827 0.890
12 Cl 0.468 0.173 0.110
13 Cl 0.435 0.435 0.740
14 Cl 0.827 0.532 0.890

Its total energy is -2.578 eV/atom. As for the total magnetization: 0.0 μB per cell.

=====

No. 7
Below is a relaxed InGa2HgCl8 crystal, with properties calculated at the PBE level.

Lattice parameters (Å, degrees): 7.573 7.559 9.549 53.60 66.64 59.94
Fractional positions:
1 In 0.500 0.500 0.500
2 Ga 0.297 0.230 0.176
3 Ga 0.703 0.770 0.824
4 Hg 0.000 0.000 0.000
5 Cl 0.877 0.531 0.715
6 Cl 0.663 0.563 0.111
7 Cl 0.123 0.469 0.285
8 Cl 0.337 0.437 0.889
9 Cl 0.600 0.992 0.273
10 Cl 0.400 0.008 0.727
11 Cl 0.134 0.992 0.273
12 Cl 0.866 0.008 0.727

Its total energy is -2.922 eV/atom. As for the total magnetization: 0.0 μB per cell.

=====

No. 8
Below is a relaxed InGa2Hg2Cl6 crystal, with properties calculated at the PBE level.

Lattice parameters (Å, degrees): 7.619 7.619 8.727 64.12 64.12 60.00
Fractional positions:
1 In 0.000 0.000 0.000
2 Ga 0.444 0.444 0.667
3 Ga 0.556 0.556 0.333
4 Hg 0.776 0.776 0.673
5 Hg 0.224 0.224 0.327
6 Cl 0.750 0.750 0.235
7 Cl 0.265 0.750 0.235
8 Cl 0.750 0.265 0.235
9 Cl 0.250 0.735 0.765
10 Cl 0.735 0.250 0.765
11 Cl 0.250 0.250 0.765

Its total energy is -2.579 eV/atom. As for the total magnetization: 0.0 μB per cell.

=====

Looking at formation energy from raw total energies for the records above, in order, we have -0.45 -0.40 -0.45 0.21 -0.45 -0.83 -0.93 -0.72 eV/atom.